# 1
A relaxed structure of ScAl2In. Source: Alexandria, functional PBE.

Values from the calculation:
Total DFT energy (no corrections) ... -4.20 eV per atom
Total magnetic moment ... 0.0 Bohr magnetons per cell
Formation enthalpy at 0 K ... -0.06 eV/atom

Cell: 9.839 9.839 9.839 Å, 18.38 18.38 18.38°
Sites, in units of the cell vectors:
Sc: 0.746 0.746 0.746
Al: 0.998 0.998 0.998
Al: 0.254 0.254 0.254
In: 0.502 0.502 0.502

# 2
A relaxed structure of PmSBrO4. Source: Alexandria, functional PBE.

Values from the calculation:
Total DFT energy (no corrections) ... -6.39 eV per atom
Raw formation energy ... -2.050 eV per atom
Total magnetic moment ... 0.0 Bohr magnetons per cell

Cell: 6.191 6.191 6.638 Å, 79.07 79.07 69.81°
Sites, in units of the cell vectors:
Br: 0.975 0.975 0.755
Br: 0.025 0.025 0.245
O: 0.152 0.485 0.150
O: 0.515 0.848 0.850
O: 0.485 0.152 0.150
O: 0.705 0.705 0.520
O: 0.488 0.488 0.767
O: 0.512 0.512 0.233
O: 0.848 0.515 0.850
O: 0.295 0.295 0.480
Pm: 0.237 0.237 0.854
Pm: 0.763 0.763 0.146
S: 0.365 0.365 0.261
S: 0.635 0.635 0.739

# 3
A relaxed structure of Ni2Ru2Rh. Source: Alexandria, functional PBE.

Values from the calculation:
Relative energy among the computed polymorphs ... 0.233 eV per atom
Total DFT energy (no corrections) ... -7.20 eV per atom
Total magnetic moment ... 0.0 Bohr magnetons per cell
Formation enthalpy at 0 K ... 0.29 eV/atom

Cell: 6.904 6.904 2.748 Å, 90.00 90.00 90.00°
Sites, in units of the cell vectors:
Ni: 0.377 0.877 0.000
Ni: 0.877 0.623 0.000
Ni: 0.123 0.377 0.000
Ni: 0.623 0.123 0.000
Ru: 0.674 0.826 0.500
Ru: 0.826 0.326 0.500
Ru: 0.326 0.174 0.500
Ru: 0.174 0.674 0.500
Rh: 0.000 0.000 0.000
Rh: 0.500 0.500 0.000